No. 1
DFT (PBE-GGA) results for a relaxed structure of Ac3MgPt8. Values from VASP.

Structure (Quantum ESPRESSO input):
```
&SYSTEM
  ibrav = 0, nat = 12, ntyp = 3
/
ATOMIC_SPECIES
Ac 227.00 Ac.upf
Mg 24.30 Mg.upf
Pt 195.08 Pt.upf
ATOMIC_POSITIONS crystal
Ac 0.000 0.000 0.000
Ac 0.128 0.128 0.128
Ac 0.615 0.615 0.615
Mg 0.488 0.488 0.488
Pt 0.059 0.059 0.562
Pt 0.059 0.562 0.059
Pt 0.064 0.562 0.562
Pt 0.311 0.311 0.311
Pt 0.562 0.059 0.059
Pt 0.562 0.064 0.562
Pt 0.562 0.562 0.064
Pt 0.812 0.812 0.812
CELL_PARAMETERS angstrom
2.797 1.615 9.114
-2.797 1.615 9.114
0.000 -3.229 9.114
```

Summary:
Space group: No. 160
D(E_F): 0.444 states/eV per atom
Calculated total energy: -6.149 eV/atom
Energy of formation from the pure elements: -0.962 eV/atom

=====

No. 2
DFT (PBE-GGA) results for a relaxed structure of Ac2MgPt9. Values from VASP.

Structure (Quantum ESPRESSO input):
```
&SYSTEM
  ibrav = 0, nat = 12, ntyp = 3
/
ATOMIC_SPECIES
Ac 227.00 Ac.upf
Mg 24.30 Mg.upf
Pt 195.08 Pt.upf
ATOMIC_POSITIONS crystal
Ac 0.136 0.136 0.136
Ac 0.864 0.864 0.864
Mg 0.000 0.000 0.000
Pt 0.079 0.584 0.584
Pt 0.332 0.332 0.332
Pt 0.416 0.416 0.921
Pt 0.416 0.921 0.416
Pt 0.500 0.500 0.500
Pt 0.584 0.079 0.584
Pt 0.584 0.584 0.079
Pt 0.668 0.668 0.668
Pt 0.921 0.416 0.416
CELL_PARAMETERS angstrom
2.756 1.591 9.031
-2.756 1.591 9.031
0.000 -3.182 9.031
```

Summary:
Space group: No. 166
D(E_F): 0.761 states/eV per atom
Calculated total energy: -6.025 eV/atom
Energy of formation from the pure elements: -0.677 eV/atom